1.
First-principles (meta-GGA SCAN) data for a crystal of SiTeAu3 relaxed with PBEsol, as listed in the Alexandria database.

Output
SG: Pm-3m (221)
DFT total energy: -49.97 eV per atom
density: 9.2 g/cm3
uncorrected formation energy: 979.0 meV per atom

```
SiTeAu3
1.0
-0.324 2.073 4.670
-5.109 -0.037 -0.338
-0.103 -4.681 2.071
Si Te Au
1 1 3
direct
0.500 0.500 0.500 Si
0.000 0.000 0.000 Te
0.000 0.500 0.000 Au
0.000 0.000 0.500 Au
0.500 0.000 0.000 Au
```

=====

2.
First-principles (meta-GGA SCAN) data for a crystal of SiTeAu relaxed with PBEsol, as listed in the Alexandria database.

Output
SG: F-43m (216)
DFT total energy: -38.43 eV per atom
density: 8.4 g/cm3
uncorrected formation energy: 380.3 meV per atom

```
SiTeAu
1.0
-4.215 1.628 -0.966
-3.697 -1.728 2.167
-2.258 2.559 3.115
Si Te Au
1 1 1
direct
0.000 0.000 0.000 Si
0.500 0.500 0.500 Te
0.250 0.250 0.250 Au
```

=====

3.
First-principles (meta-GGA SCAN) data for a crystal of Ti2Si2Au relaxed with PBEsol, as listed in the Alexandria database.

Output
SG: P4/mbm (127)
DFT total energy: -24.93 eV per atom
density: 7.8 g/cm3
uncorrected formation energy: -679.7 meV per atom

```
Ti2Si2Au
1.0
-2.873 1.937 1.054
-3.016 -1.518 -5.430
-2.462 -5.185 2.817
Si Au Ti
4 2 4
direct
0.000 0.373 0.873 Si
0.000 0.873 0.627 Si
0.000 0.627 0.127 Si
0.000 0.127 0.373 Si
0.000 0.000 0.000 Au
0.000 0.500 0.500 Au
0.500 0.171 0.671 Ti
0.500 0.671 0.829 Ti
0.500 0.829 0.329 Ti
0.500 0.329 0.171 Ti
```

=====

4.
First-principles (meta-GGA SCAN) data for a crystal of SiWAu2 relaxed with PBEsol, as listed in the Alexandria database.

Output
SG: P4mm (99)
DFT total energy: -54.24 eV per atom
density: 16.1 g/cm3
uncorrected formation energy: 265.9 meV per atom

```
SiWAu2
1.0
-0.999 -2.139 1.943
-1.377 -1.455 -2.310
5.549 -3.560 -1.065
Au Si W
2 1 1
direct
0.000 0.000 0.989 Au
0.500 0.500 0.279 Au
0.000 0.000 0.517 Si
0.500 0.500 0.715 W
```

=====

5.
First-principles (meta-GGA SCAN) data for a crystal of SiW2Au relaxed with PBEsol, as listed in the Alexandria database.

Output
SG: R3m (160)
DFT total energy: -54.27 eV per atom
density: 16.0 g/cm3
uncorrected formation energy: 365.9 meV per atom

```
SiW2Au
1.0
-2.252 -1.568 0.644
-0.331 -0.982 2.621
-5.390 6.560 3.293
Au Si W
1 1 2
direct
0.504 0.504 0.487 Au
0.252 0.252 0.244 Si
0.995 0.995 0.015 W
0.749 0.749 0.754 W
```

=====

6.
First-principles (meta-GGA SCAN) data for a crystal of SiW2Au relaxed with PBEsol, as listed in the Alexandria database.

Output
SG: Cmmm (65)
DFT total energy: -54.26 eV per atom
density: 16.2 g/cm3
uncorrected formation energy: 375.0 meV per atom

```
SiW2Au
1.0
-1.618 1.506 1.647
-3.233 0.531 -3.660
-0.775 -3.935 2.836
Au Si W
1 1 2
direct
0.500 0.000 0.000 Au
0.500 0.500 0.500 Si
0.000 0.500 0.000 W
0.000 0.000 0.500 W
```

=====

7.
First-principles (meta-GGA SCAN) data for a crystal of Si3WAu relaxed with PBEsol, as listed in the Alexandria database.

Output
SG: Pm-3m (221)
DFT total energy: -32.96 eV per atom
density: 7.4 g/cm3
uncorrected formation energy: 820.3 meV per atom

```
Si3WAu
1.0
-1.013 4.350 1.458
-3.351 -1.722 2.808
3.134 -0.435 3.473
Si Au W
3 1 1
direct
0.000 0.500 0.000 Si
0.000 0.000 0.500 Si
0.500 0.000 0.000 Si
0.500 0.500 0.500 Au
0.000 0.000 0.000 W
```

=====

8.
First-principles (meta-GGA SCAN) data for a crystal of SiWAu4 relaxed with PBEsol, as listed in the Alexandria database.

Output
SG: F-43m (216)
DFT total energy: -58.44 eV per atom
density: 15.4 g/cm3
uncorrected formation energy: 949.7 meV per atom

```
SiWAu4
1.0
-2.485 3.707 -2.931
0.336 -0.141 -5.327
-4.276 -1.322 -2.910
Au Si W
4 1 1
direct
0.375 0.375 0.375 Au
0.375 0.375 0.875 Au
0.875 0.375 0.375 Au
0.375 0.875 0.375 Au
0.750 0.750 0.750 Si
0.000 0.000 0.000 W
```

=====

9.
First-principles (meta-GGA SCAN) data for a crystal of SiW3Au relaxed with PBEsol, as listed in the Alexandria database.

Output
SG: Pm-3m (221)
DFT total energy: -56.15 eV per atom
density: 14.8 g/cm3
uncorrected formation energy: 1494.9 meV per atom

```
SiW3Au
1.0
-1.583 -2.861 -2.995
4.014 -0.268 -1.866
1.023 -3.377 2.685
Si Au W
1 1 3
direct
0.000 0.000 0.000 Si
0.500 0.500 0.500 Au
0.000 0.500 0.000 W
0.000 0.000 0.500 W
0.500 0.000 0.000 W
```

=====

10.
First-principles (meta-GGA SCAN) data for a crystal of SiWAu2 relaxed with PBEsol, as listed in the Alexandria database.

Output
SG: Immm (71)
DFT total energy: -54.18 eV per atom
density: 16.1 g/cm3
uncorrected formation energy: 319.4 meV per atom

```
SiWAu2
1.0
-1.008 -2.603 -0.354
4.126 -1.721 0.903
-2.680 1.955 4.449
Au Si W
2 1 1
direct
0.723 0.723 0.447 Au
0.277 0.277 0.553 Au
0.000 0.500 0.000 Si
0.500 0.000 0.000 W
```

=====

11.
First-principles (meta-GGA SCAN) data for a crystal of Si2WAu relaxed with PBEsol, as listed in the Alexandria database.

Output
SG: P4/mmm (123)
DFT total energy: -39.50 eV per atom
density: 12.6 g/cm3
E above lowest polymorph: 0 meV/atom
uncorrected formation energy: 218.6 meV per atom

```
Si2WAu
1.0
3.266 0.000 0.000
0.000 4.187 0.209
0.000 -0.209 4.187
Au Si W
1 2 1
direct
0.500 0.500 0.500 Au
0.000 0.500 0.000 Si
0.000 0.000 0.500 Si
0.500 0.000 0.000 W
```

=====

12.
First-principles (meta-GGA SCAN) data for a crystal of SiWAu2 relaxed with PBEsol, as listed in the Alexandria database.

Output
SG: Pmmm (47)
DFT total energy: -54.12 eV per atom
density: 15.8 g/cm3
uncorrected formation energy: 380.8 meV per atom

```
SiWAu2
1.0
-1.872 1.836 1.029
-2.846 -0.969 -3.448
-2.042 -3.593 2.696
Au Si W
2 1 1
direct
0.000 0.000 0.000 Au
0.500 0.500 0.000 Au
0.500 0.000 0.500 Si
0.000 0.500 0.500 W
```

=====

13.
First-principles (meta-GGA SCAN) data for a crystal of Si2WAu relaxed with PBEsol, as listed in the Alexandria database.

Output
SG: Cmmm (65)
DFT total energy: -39.30 eV per atom
density: 11.9 g/cm3
E above lowest polymorph: 197 meV/atom
uncorrected formation energy: 415.7 meV per atom

```
Si2WAu
1.0
2.829 0.004 0.000
-0.707 2.739 0.000
0.000 0.000 7.860
Au Si W
1 2 1
direct
0.500 0.500 0.000 Au
0.000 0.000 0.267 Si
0.000 0.000 0.733 Si
0.500 0.500 0.500 W
```

=====

14.
First-principles (meta-GGA SCAN) data for a crystal of SiWAu3 relaxed with PBEsol, as listed in the Alexandria database.

Output
SG: Pm-3m (221)
DFT total energy: -56.30 eV per atom
density: 13.7 g/cm3
uncorrected formation energy: 1135.6 meV per atom

```
SiWAu3
1.0
4.596 0.000 0.000
0.000 4.596 0.000
0.000 0.000 4.596
Si Au W
1 3 1
direct
0.000 0.000 0.000 Si
0.000 0.500 0.000 Au
0.000 0.000 0.500 Au
0.500 0.000 0.000 Au
0.500 0.500 0.500 W
```

=====

15.
First-principles (meta-GGA SCAN) data for a crystal of Y2Si2Au relaxed with PBEsol, as listed in the Alexandria database.

Output
SG: P4/mbm (127)
DFT total energy: -29.89 eV per atom
density: 7.3 g/cm3
uncorrected formation energy: -912.9 meV per atom

```
Y2Si2Au
1.0
-1.904 0.201 3.847
-0.232 -6.752 0.238
6.056 -0.102 3.003
Y Si Au
4 4 2
direct
0.500 0.174 0.674 Y
0.500 0.674 0.826 Y
0.500 0.826 0.326 Y
0.500 0.326 0.174 Y
0.000 0.374 0.874 Si
0.000 0.874 0.626 Si
0.000 0.626 0.126 Si
0.000 0.126 0.374 Si
0.000 0.000 0.000 Au
0.000 0.500 0.500 Au
```